[1]
Below is a relaxed structure of YZr4Ir2, with properties calculated at the PBE-GGA level.

Calculated values
M_tot = 0.00 μB per formula unit
space group = I4/mmm
formation energy from the elements = 782 meV per atom

Structure (extended XYZ):
```
7
Lattice="-3.929 -2.870 1.259 0.617 -2.688 -4.202 2.443 -6.955 1.802" Properties=species:S:1:pos:R:3 pbc="T T T"
Y 0.000 0.000 0.000
Ir -0.129 -8.801 -0.401
Ir -0.740 -3.713 -0.740
Zr -1.626 -7.276 -1.597
Zr 0.757 -5.238 0.456
Zr 0.309 -1.344 -2.101
Zr -1.965 -1.435 0.629
```

[2]
Below is a relaxed structure of Mo2PSe, with properties calculated at the PBE-GGA level.

Calculated values
relative energy among the computed polymorphs = 575 meV/atom
energy relative to the elements, uncorrected = 28.3 kJ per mole of atoms
M_tot = 0.00 μB per formula unit
space group = I-4m2

Structure (extended XYZ):
```
4
Lattice="-2.002 2.002 3.845 2.002 -2.002 3.845 2.002 2.002 -3.845" Properties=species:S:1:pos:R:3 pbc="T T T"
Mo 0.000 0.000 0.000
Mo 2.002 0.000 1.922
P 0.000 0.000 3.845
Se 0.000 2.002 1.922
```

[3]
Below is a relaxed structure of Tb4MgZn2, with properties calculated at the PBE-GGA level.

Calculated values
relative energy among the computed polymorphs = 149 meV/atom
M_tot = 0.00 μB per formula unit
space group = R-3m
formation energy from the elements = 31 meV per atom

Structure (extended XYZ):
```
7
Lattice="-1.587 -2.502 -4.167 1.733 -4.711 -0.968 -6.509 -5.742 2.790" Properties=species:S:1:pos:R:3 pbc="T T T"
Tb -5.554 -7.685 0.457
Tb -2.347 -3.624 -0.067
Tb -4.016 -9.331 -2.277
Tb -0.809 -5.270 -2.801
Mg 0.000 0.000 0.000
Zn -4.574 -4.757 1.462
Zn -1.789 -8.198 -3.806
```

[4]
Below is a relaxed structure of La7TbIn4, with properties calculated at the PBE-GGA level.

Calculated values
M_tot = 0.00 μB per formula unit
space group = C2/m
formation energy from the elements = -177 meV per atom

Structure (extended XYZ):
```
12
Lattice="5.962 0.000 0.000 2.981 9.308 0.357 2.981 0.576 7.343" Properties=species:S:1:pos:R:3 pbc="T T T"
La 8.944 8.511 4.156
La 2.981 1.373 3.544
La 2.981 5.922 2.113
La 8.944 3.962 5.587
La 5.962 6.467 5.932
La 2.981 0.000 0.000
La 5.962 3.417 1.768
Tb 0.000 0.000 0.000
In 5.962 2.603 4.811
In 5.962 7.281 2.889
In 8.944 6.775 7.333
In 2.981 3.110 0.367
```

Please write out number 1 again, unchanged.
Below is a relaxed structure of YZr4Ir2, with properties calculated at the PBE-GGA level.

Calculated values
M_tot = 0.00 μB per formula unit
space group = I4/mmm
formation energy from the elements = 782 meV per atom

Structure (extended XYZ):
```
7
Lattice="-3.929 -2.870 1.259 0.617 -2.688 -4.202 2.443 -6.955 1.802" Properties=species:S:1:pos:R:3 pbc="T T T"
Y 0.000 0.000 0.000
Ir -0.129 -8.801 -0.401
Ir -0.740 -3.713 -0.740
Zr -1.626 -7.276 -1.597
Zr 0.757 -5.238 0.456
Zr 0.309 -1.344 -2.101
Zr -1.965 -1.435 0.629
```

Q: M_tot of number 4 (La7TbIn4)?
A: 0.00 μB per formula unit